Material: CaUP2
Method: DFT, PBE
State: optimized geometry

The value obtained for the magnetization is 6.00 μB per cell. The calculation puts the density of states at the Fermi level at 1.322 states/eV/atom. The crystal system is trigonal. As for the energy relative to the elements: -0.963 eV per atom. The value obtained for the relative energy among the computed polymorphs is 0.1008 eV/atom.

Cell lengths 3.9925, 3.9925, 20.6596 Å; angles 90.00, 90.00, 120.00 degrees
With the nearest neighbours (Å) after each atom.
Space group R3m (No. 160, hexagonal axes)
Inequivalent atoms, fractional coordinates:
Ca1 0.0000 0.0000 0.0000 (multiplicity 3)  6 P 2.93-3.04
U1 0.0000 0.0000 0.1722 (multiplicity 3)  6 P 2.76-2.80
P1 0.0000 0.0000 0.5793 (multiplicity 3)  3 U 2.76, 3 Ca 2.93
P2 0.0000 0.0000 0.7623 (multiplicity 3)  3 U 2.80, 3 Ca 3.04

=====

Material: Li2OsPtO
Method: DFT, PBE
State: optimized geometry

The value obtained for the magnetization is 1.68 μB per cell. The calculation puts the density of states at the Fermi level at 0.978 states/eV/atom. The crystal system is tetragonal. The uncorrected formation energy comes out at 1.03 eV/atom.

Cell lengths 4.5336, 4.5336, 4.7870 Å; angles 90.00, 90.00, 90.00 degrees
With the nearest neighbours (Å) after each atom.
Space group P4/mmm (No. 123)
Inequivalent atoms, fractional coordinates:
Li1 0.0000 0.5000 0.0000 (multiplicity 2)  2 Pt 2.27
Os1 0.0000 0.0000 0.5000 (multiplicity 1)  2 Pt 2.39
Pt1 0.0000 0.0000 0.0000 (multiplicity 1)  4 Li 2.27, 2 Os 2.39
O1 0.5000 0.5000 0.5000 (multiplicity 1)  4 Os 3.21, 8 Li 3.30

=====

Material: Er3ZnC
Method: DFT, PBE
State: optimized geometry

The value obtained for the magnetization is 0.74 μB per cell. The calculation puts the density of states at the Fermi level at 1.132 states/eV/atom. The crystal system is cubic. As for the energy relative to the elements: -0.265 eV per atom. The value obtained for the relative energy among the computed polymorphs is 0.0161 eV/atom.

Cell lengths 4.8269, 4.8269, 4.8269 Å; angles 90.00, 90.00, 90.00 degrees
With the nearest neighbours (Å) after each atom.
Space group Pm-3m (No. 221)
Inequivalent atoms, fractional coordinates:
Er1 0.0000 0.0000 0.5000 (multiplicity 3)  2 C 2.41
Zn1 0.5000 0.5000 0.5000 (multiplicity 1)  12 Er 3.41
C1 0.0000 0.0000 0.0000 (multiplicity 1)  6 Er 2.41

=====

Material: Rb3Tm3NpS8
Method: DFT, PBE
State: optimized geometry

The value obtained for the magnetization is 9.00 μB per cell. The calculation puts the density of states at the Fermi level at 0.279 states/eV/atom. The crystal system is trigonal. The uncorrected formation energy comes out at -1.75 eV/atom.

Cell lengths 7.9982, 7.9982, 23.4229 Å; angles 90.00, 90.00, 120.00 degrees
With the nearest neighbours (Å) after each atom.
Space group R-3m (No. 166, hexagonal axes)
Inequivalent atoms, fractional coordinates:
Rb1 0.0000 0.5000 0.0000 (multiplicity 9)  6 S 3.36-3.37
Tm1 0.0000 0.5000 0.5000 (multiplicity 9)  6 S 2.73
Np1 0.0000 0.0000 0.5000 (multiplicity 3)  6 S 2.71
S1 0.0000 0.0000 0.2292 (multiplicity 6)  3 Tm 2.73
S2 0.0017 0.5009 0.2285 (multiplicity 18)  1 Np 2.71, 2 Tm 2.73

=====

Material: Cr2HRh2
Method: DFT, PBE
State: optimized geometry

The value obtained for the magnetization is 0.18 μB per cell. The calculation puts the density of states at the Fermi level at 1.027 states/eV/atom. The crystal system is tetragonal. The value obtained for the relative energy among the computed polymorphs is 0.0000 eV/atom.

Cell lengths 3.8437, 3.8437, 3.8229 Å; angles 90.00, 90.00, 90.00 degrees
With the nearest neighbours (Å) after each atom.
Space group P4/mmm (No. 123)
Inequivalent atoms, fractional coordinates:
Cr1 0.0000 0.0000 0.0000 (multiplicity 1)  2 H 1.91
Cr2 0.5000 0.5000 0.0000 (multiplicity 1)  8 Rh 2.71, 4 Cr 2.72
H1 0.0000 0.0000 0.5000 (multiplicity 1)  2 Cr 1.91, 4 Rh 1.92
Rh1 0.0000 0.5000 0.5000 (multiplicity 2)  2 H 1.92

=====

Material: La2YCdRu
Method: DFT, PBE
State: optimized geometry

The value obtained for the magnetization is 0.00 μB per cell. The calculation puts the density of states at the Fermi level at 1.009 states/eV/atom. The crystal system is tetragonal. As for the energy relative to the elements: -0.201 eV per atom.

Cell lengths 5.4473, 5.4473, 5.4659 Å; angles 90.00, 90.00, 90.00 degrees
With the nearest neighbours (Å) after each atom.
Space group P4/mmm (No. 123)
Inequivalent atoms, fractional coordinates:
La1 0.0000 0.5000 0.0000 (multiplicity 2)  2 Ru 2.72
Y1 0.0000 0.0000 0.5000 (multiplicity 1)  2 Ru 2.73
Cd1 0.5000 0.5000 0.5000 (multiplicity 1)  4 Y 3.85, 8 La 3.86
Ru1 0.0000 0.0000 0.0000 (multiplicity 1)  4 La 2.72, 2 Y 2.73

=====

- The highest density of states at the Fermi level belongs to which entry?
  CaUP2

=====

- Which formula does entry 6 have?
  La2YCdRu

=====

- density of states at the Fermi level of number 2 (Li2OsPtO)?
  0.978 states/eV/atom